A plane-wave DFT calculation with PBE+U was carried out for an optimized crystal structure of Na2Cr2O5.

a b c (Å): 8.048 8.048 8.048
angles (deg): 141.01 139.44 57.52
Element x y z (fractional)
O  0.927  0.887  0.103
Cr  0.000  0.011  0.011
O  0.716  0.676  0.103
O  0.284  0.387  0.960
Na  0.364  0.892  0.468
O  0.387  0.866  0.753
Na  0.923  0.392  0.527
O  0.613  0.366  0.480
O  0.073  0.176  0.960
Cr  0.500  0.511  0.011
O  0.730  0.245  0.010
Na  0.077  0.604  0.468
O  0.265  0.779  0.010
O  0.735  0.745  0.514
Cr  0.325  0.204  0.029
O  0.270  0.279  0.514
Na  0.636  0.104  0.527
Cr  0.675  0.704  0.879

Values from the calculation:
- Total DFT energy (no corrections): -6.297 eV per atom
- Symmetry: Ima2 (46)
- Total moment: 0.44 μB per atom